1.
VASP calculation (PBE) on crystalline CsKRb3 at its relaxed geometry.

Geometry as CIF:
```
data_CsKRb3
_cell_length_a 8.422
_cell_length_b 8.422
_cell_length_c 8.422
_cell_angle_alpha 90.00
_cell_angle_beta 90.00
_cell_angle_gamma 90.00
_space_group_name_H-M_alt 'P 1'
_space_group_IT_number 1
loop_
_space_group_symop_operation_xyz
'x,y,z'
loop_
_atom_site_label
_atom_site_type_symbol
_atom_site_fract_x
_atom_site_fract_y
_atom_site_fract_z
_atom_site_occupancy
Rb1 Rb 0.500 0.000 0.000 1
Rb2 Rb 0.000 0.000 0.500 1
Rb3 Rb 0.000 0.500 0.000 1
K1 K 0.500 0.500 0.500 1
Cs1 Cs 0.000 0.000 0.000 1
```

Values from the calculation:
E above lowest polymorph: 0.243 eV/atom
space group: Pm-3m (221)
energy of formation from the pure elements: 0.25 eV per atom
DFT total energy: -0.720 eV per atom
Fermi-level density of states: 1.33 states/eV/atom
crystal system: cubic

=====

2.
VASP calculation (PBE) on crystalline Zr2ScTa at its relaxed geometry.

Geometry as CIF:
```
data_Zr2ScTa
_cell_length_a 10.572
_cell_length_b 10.572
_cell_length_c 10.572
_cell_angle_alpha 16.96
_cell_angle_beta 16.96
_cell_angle_gamma 16.96
_space_group_name_H-M_alt 'P 1'
_space_group_IT_number 1
loop_
_space_group_symop_operation_xyz
'x,y,z'
loop_
_atom_site_label
_atom_site_type_symbol
_atom_site_fract_x
_atom_site_fract_y
_atom_site_fract_z
_atom_site_occupancy
Sc1 Sc 0.495 0.495 0.495 1
Zr1 Zr 0.251 0.251 0.251 1
Zr2 Zr 0.003 0.003 0.003 1
Ta1 Ta 0.751 0.751 0.751 1
```

Values from the calculation:
space group: R3m (160)
energy of formation from the pure elements: 0.15 eV per atom
DFT total energy: -8.671 eV per atom
Fermi-level density of states: 1.49 states/eV/atom
crystal system: trigonal

=====

3.
VASP calculation (PBE) on crystalline YHI at its relaxed geometry.

Geometry as CIF:
```
data_YHI
_cell_length_a 3.854
_cell_length_b 6.424
_cell_length_c 7.494
_cell_angle_alpha 113.37
_cell_angle_beta 104.90
_cell_angle_gamma 90.00
_space_group_name_H-M_alt 'P 1'
_space_group_IT_number 1
loop_
_space_group_symop_operation_xyz
'x,y,z'
loop_
_atom_site_label
_atom_site_type_symbol
_atom_site_fract_x
_atom_site_fract_y
_atom_site_fract_z
_atom_site_occupancy
H1 H 0.290 0.151 0.580 1
H2 H 0.710 0.849 0.420 1
I1 I 0.908 0.666 0.815 1
I2 I 0.092 0.334 0.185 1
Y1 Y 0.275 0.802 0.550 1
Y2 Y 0.725 0.198 0.450 1
```

Values from the calculation:
space group: C2/m (12)
DFT total energy: -4.560 eV per atom
Fermi-level density of states: 0.63 states/eV/atom
crystal system: monoclinic

=====

4.
VASP calculation (PBE) on crystalline WSeCl at its relaxed geometry.

Geometry as CIF:
```
data_WSeCl
_cell_length_a 3.259
_cell_length_b 5.475
_cell_length_c 9.277
_cell_angle_alpha 60.00
_cell_angle_beta 90.00
_cell_angle_gamma 90.00
_space_group_name_H-M_alt 'P 1'
_space_group_IT_number 1
loop_
_space_group_symop_operation_xyz
'x,y,z'
loop_
_atom_site_label
_atom_site_type_symbol
_atom_site_fract_x
_atom_site_fract_y
_atom_site_fract_z
_atom_site_occupancy
Cl1 Cl 0.003 0.294 0.059 1
Cl2 Cl 0.503 0.118 0.702 1
Se1 Se 0.003 0.777 0.513 1
Se2 Se 0.503 0.635 0.248 1
W1 W 0.003 0.292 0.463 1
W2 W 0.503 0.120 0.299 1
```

Values from the calculation:
E above lowest polymorph: 0.000 eV/atom
space group: P2_1/m (11)
DFT total energy: -6.578 eV per atom
Fermi-level density of states: 0.28 states/eV/atom
crystal system: monoclinic
formation energy (no corrections): -0.483 eV per atom

=====

What are the total moment values for these records? In order: 0.00, 0.00, 0.00, 0.00 μB per atom.